A plane-wave DFT calculation with GGA-PBE was carried out for SbAsPdO after structural relaxation.

Results
* raw total energy: -5.20 eV/atom

Cell: 3.9435 3.9435 8.8868 Å, 90.00 90.00 90.00°
Last column: nearest neighbours and their distance in Å.
Atoms (fractional coordinates):
As 0.5000 0.0000 0.6759  4 Pd 2.52
As 0.0000 0.5000 0.3241  4 Pd 2.52
O 0.0000 0.0000 0.0000  4 Sb 2.31
Sb 0.5000 0.0000 0.1351  4 O 2.31
Pd 0.0000 0.0000 0.5000  4 As 2.52, 4 Pd 2.79
Sb 0.0000 0.5000 0.8649  4 O 2.31
O 0.5000 0.5000 0.0000  4 Sb 2.31
Pd 0.5000 0.5000 0.5000  4 As 2.52, 4 Pd 2.79